[1]
A geometry-optimized Pm3EuPt structure. Source: the Alexandria database, functional PBE-GGA.

It has space group Pm-3m (No. 221), with a = 5.6852 Å, b = 5.6852 Å, c = 5.6852 Å, α = 90.00°, β = 90.00° and γ = 90.00°. The asymmetric unit holds Pm at (0.0000, 0.0000, 0.5000), Eu at (0.5000, 0.5000, 0.5000) and Pt at (0.0000, 0.0000, 0.0000).

For the total energy, the calculation gives -6.448 eV/atom. Its total magnetic moment is 7.964 μB per cell. The energy of formation from the pure elements comes out at -32.24 kJ per mole of atoms.

[2]
A geometry-optimized Tb3SmSb structure. Source: the Alexandria database, functional PBE-GGA.

It has space group Pnma (No. 62), with a = 10.7844 Å, b = 3.9982 Å, c = 14.5843 Å, α = 90.00°, β = 90.00° and γ = 90.00°. The asymmetric unit holds Tb at (0.0828, 0.2500, 0.0759), Tb at (0.1118, 0.7500, 0.2696), Tb at (0.1374, 0.7500, 0.6848), Sm at (0.1712, 0.2500, 0.4705) and Sb at (0.1300, 0.2500, 0.8613).

The uncorrected formation energy is -0.380 eV/atom. For the total energy, the calculation gives -4.926 eV/atom. Its total magnetic moment is 0.035 μB per cell.

[3]
A geometry-optimized InAs2IBr structure. Source: the Alexandria database, functional PBE-GGA.

It has space group P4/mmm (No. 123), with a = 5.4467 Å, b = 5.4467 Å, c = 5.3513 Å, α = 90.00°, β = 90.00° and γ = 90.00°. The asymmetric unit holds In at (0.0000, 0.0000, 0.0000), As at (0.0000, 0.5000, 0.0000), I at (0.5000, 0.5000, 0.5000) and Br at (0.0000, 0.0000, 0.5000).

The uncorrected formation energy is 0.515 eV/atom. For the total energy, the calculation gives -2.537 eV/atom. For the energy above the most stable polymorph in this dataset, the calculation gives 0 meV/atom. Its total magnetic moment is 1.190 μB per cell.

[4]
A geometry-optimized BaCuSnSb structure. Source: the Alexandria database, functional PBE-GGA.

It has space group P4/nmm (No. 129, origin choice 2), with a = 4.4947 Å, b = 4.4947 Å, c = 11.9528 Å, α = 90.00°, β = 90.00° and γ = 90.00°. The asymmetric unit holds Ba at (0.2500, 0.2500, 0.2372), Cu at (0.2500, 0.7500, 0.0000), Sn at (0.2500, 0.7500, 0.5000) and Sb at (0.2500, 0.2500, 0.8840).

The uncorrected formation energy is -0.408 eV/atom. For the total energy, the calculation gives -3.944 eV/atom. Its total magnetic moment is 0.000 μB per cell.

[5]
A geometry-optimized VCr2CoPt structure. Source: the Alexandria database, functional PBE-GGA.

It has space group P4/mmm (No. 123), with a = 4.0873 Å, b = 4.0873 Å, c = 4.6115 Å, α = 90.00°, β = 90.00° and γ = 90.00°. The asymmetric unit holds V at (0.0000, 0.0000, 0.0000), Cr at (0.0000, 0.5000, 0.5000), Co at (0.5000, 0.5000, 0.5000) and Pt at (0.5000, 0.5000, 0.0000).

For the total energy, the calculation gives -7.198 eV/atom. Its total magnetic moment is 0.877 μB per cell. The energy of formation from the pure elements comes out at 106.54 kJ per mole of atoms.

[6]
A geometry-optimized In2Au2Br structure. Source: the Alexandria database, functional PBE-GGA.

It has space group P4/mbm (No. 127), with a = 8.2872 Å, b = 8.2872 Å, c = 3.4867 Å, α = 90.00°, β = 90.00° and γ = 90.00°. The asymmetric unit holds In at (0.1857, 0.3143, 0.0000), Au at (0.1174, 0.6174, 0.5000) and Br at (0.0000, 0.0000, 0.0000).

The uncorrected formation energy is -0.185 eV/atom. For the total energy, the calculation gives -2.926 eV/atom. For the energy above the most stable polymorph in this dataset, the calculation gives 17 meV/atom. Its total magnetic moment is 0.000 μB per cell.

What is the formula in the sixth record?
In2Au2Br

Which formula does entry 4 have?
BaCuSnSb

Copy entry 6 word for word.
A geometry-optimized In2Au2Br structure. Source: the Alexandria database, functional PBE-GGA.

It has space group P4/mbm (No. 127), with a = 8.2872 Å, b = 8.2872 Å, c = 3.4867 Å, α = 90.00°, β = 90.00° and γ = 90.00°. The asymmetric unit holds In at (0.1857, 0.3143, 0.0000), Au at (0.1174, 0.6174, 0.5000) and Br at (0.0000, 0.0000, 0.0000).

The uncorrected formation energy is -0.185 eV/atom. For the total energy, the calculation gives -2.926 eV/atom. For the energy above the most stable polymorph in this dataset, the calculation gives 17 meV/atom. Its total magnetic moment is 0.000 μB per cell.